VASP calculation (PBE-GGA) on a relaxed GePd2Se crystal.

Summary:
relative energy among the computed polymorphs = 0.000 eV/atom
space-group type = No. 122

Cell: 4.3262 4.3262 8.6073 Å, 75.44 75.44 90.00°
Closest atoms and distances in Å follow each position.
Sites, in units of the cell vectors:
Ge: 0.2500 0.7500 0.5000  4 Pd 2.51
Se: 0.7500 0.2500 0.5000  4 Pd 2.55
Pd: 0.8750 0.8649 0.7500  2 Ge 2.51, 2 Se 2.55
Se: 0.0000 0.0000 0.0000  4 Pd 2.55
Pd: 0.3750 0.3851 0.7500  2 Ge 2.51, 2 Se 2.55
Pd: 0.1351 0.6250 0.2500  2 Ge 2.51, 2 Se 2.55
Pd: 0.6149 0.1250 0.2500  2 Ge 2.51, 2 Se 2.55
Ge: 0.5000 0.5000 0.0000  4 Pd 2.51

=====

VASP calculation (PBE-GGA) on a relaxed SrCe2Te3 crystal.

Summary:
VASP energy = -5.268 eV per atom
space-group type = No. 71

Cell: 4.5317 6.4728 7.9723 Å, 113.95 106.51 90.00°
Closest atoms and distances in Å follow each position.
Sites, in units of the cell vectors:
Sr: 0.0000 0.5000 0.0000  6 Te 3.24-3.27
Ce: 0.3344 0.8344 0.6687  6 Te 3.21-3.24
Ce: 0.6656 0.1656 0.3313  6 Te 3.21-3.24
Te: 0.3294 0.3294 0.6588  4 Ce 3.21-3.24, 2 Sr 3.27
Te: 0.0000 0.0000 0.0000  4 Ce 3.22, 2 Sr 3.24
Te: 0.6706 0.6706 0.3412  4 Ce 3.21-3.24, 2 Sr 3.27

=====

VASP calculation (PBE-GGA) on a relaxed PrNd2Dy5 crystal.

Summary:
energy relative to the elements = 18 meV per atom
relative energy among the computed polymorphs = 0.000 eV/atom
space-group type = No. 55

Cell: 5.0866 7.1951 14.3991 Å, 90.00 90.00 90.00°
Closest atoms and distances in Å follow each position.
Sites, in units of the cell vectors:
Pr: 0.0000 0.5000 0.0000  8 Dy 3.60-3.62, 4 Nd 3.61
Dy: 0.0000 0.0022 0.7511  7 Dy 3.58-3.60, 4 Nd 3.58-3.60, 1 Pr 3.62
Dy: 0.5000 0.2512 0.8742  4 Nd 3.57-3.62, 6 Dy 3.58-3.61, 2 Pr 3.60
Nd: 0.5000 0.7475 0.3740  10 Dy 3.57-3.62, 2 Pr 3.61
Dy: 0.0000 0.5000 0.5000  6 Dy 3.58-3.61, 4 Nd 3.60, 2 Pr 3.60
Dy: 0.5000 0.2488 0.3742  4 Nd 3.57-3.62, 6 Dy 3.58-3.61, 2 Pr 3.60
Nd: 0.5000 0.2475 0.1260  10 Dy 3.57-3.62, 2 Pr 3.61
Dy: 0.0000 0.4978 0.2511  7 Dy 3.58-3.60, 4 Nd 3.58-3.60, 1 Pr 3.62
Dy: 0.5000 0.7512 0.6258  4 Nd 3.57-3.62, 6 Dy 3.58-3.61, 2 Pr 3.60
Nd: 0.5000 0.2525 0.6260  10 Dy 3.57-3.62, 2 Pr 3.61
Dy: 0.0000 0.5022 0.7489  7 Dy 3.58-3.60, 4 Nd 3.58-3.60, 1 Pr 3.62
Pr: 0.0000 0.0000 0.5000  8 Dy 3.60-3.62, 4 Nd 3.61
Dy: 0.0000 0.9978 0.2489  7 Dy 3.58-3.60, 4 Nd 3.58-3.60, 1 Pr 3.62
Dy: 0.0000 0.0000 0.0000  6 Dy 3.58-3.61, 4 Nd 3.60, 2 Pr 3.60
Dy: 0.5000 0.7488 0.1258  4 Nd 3.57-3.62, 6 Dy 3.58-3.61, 2 Pr 3.60
Nd: 0.5000 0.7525 0.8740  10 Dy 3.57-3.62, 2 Pr 3.61

=====

VASP calculation (PBE-GGA) on a relaxed CaGdTlPt crystal.

Summary:
energy relative to the elements = -648 meV per atom
space-group type = No. 216

Cell: 5.1800 5.1800 5.1800 Å, 60.00 60.00 60.00°
Closest atoms and distances in Å follow each position.
Sites, in units of the cell vectors:
Pt: 0.7500 0.7500 0.7500  4 Ca 3.17, 4 Gd 3.17
Gd: 0.5000 0.5000 0.5000  4 Tl 3.17, 4 Pt 3.17
Tl: 0.2500 0.2500 0.2500  4 Gd 3.17, 4 Ca 3.17
Ca: 0.0000 0.0000 0.0000  4 Pt 3.17, 4 Tl 3.17

=====

VASP calculation (PBE-GGA) on a relaxed Ta2RuAu crystal.

Summary:
energy relative to the elements = 85 meV per atom
relative energy among the computed polymorphs = 0.248 eV/atom
space-group type = No. 216

Cell: 4.5673 4.5673 4.5673 Å, 60.00 60.00 60.00°
Closest atoms and distances in Å follow each position.
Sites, in units of the cell vectors:
Au: 0.5000 0.5000 0.5000  4 Ru 2.80, 4 Ta 2.80
Ru: 0.7500 0.7500 0.7500  4 Ta 2.80, 4 Au 2.80
Ta: 0.0000 0.0000 0.0000  4 Ta 2.80, 4 Ru 2.80
Ta: 0.2500 0.2500 0.2500  4 Au 2.80, 4 Ta 2.80

=====

VASP calculation (PBE-GGA) on a relaxed ThMg2Ag2Hg2 crystal.

Summary:
energy relative to the elements = -152 meV per atom
space-group type = No. 166

Cell: 4.7381 4.7381 8.5506 Å, 73.92 73.92 60.00°
Closest atoms and distances in Å follow each position.
Sites, in units of the cell vectors:
Th: 0.0000 0.0000 0.0000  6 Hg 3.20, 2 Mg 3.40
Mg: 0.1400 0.1400 0.5801  3 Ag 2.86, 3 Mg 3.03, 1 Hg 3.04
Hg: 0.7351 0.7351 0.7946  3 Ag 2.88, 1 Mg 3.04, 3 Th 3.20
Mg: 0.8600 0.8600 0.4199  3 Ag 2.86, 3 Mg 3.03, 1 Hg 3.04
Hg: 0.2649 0.2649 0.2054  3 Ag 2.88, 1 Mg 3.04, 3 Th 3.20
Ag: 0.4392 0.4392 0.6825  3 Mg 2.86, 3 Hg 2.88, 1 Ag 2.96
Ag: 0.5608 0.5608 0.3175  3 Mg 2.86, 3 Hg 2.88, 1 Ag 2.96

=====

VASP calculation (PBE-GGA) on a relaxed Tb8Er4Sc crystal.

Summary:
energy relative to the elements = 191 meV per atom
space-group type = No. 166

Cell: 7.2053 7.2053 9.9792 Å, 90.00 111.16 120.00°
Closest atoms and distances in Å follow each position.
Sites, in units of the cell vectors:
Tb: 0.4940 0.7470 0.6963  1 Sc 2.88
Tb: 0.5680 0.7840 0.3520  9 Tb 3.63-3.65, 3 Er 3.81
Sc: 0.0000 0.5000 0.5000  6 Tb 2.88
Tb: 0.9493 0.7470 0.6963  1 Sc 2.88
Er: 0.0000 0.5000 0.0000  6 Tb 3.51-3.81, 6 Er 3.60
Tb: 0.0507 0.2530 0.3037  1 Sc 2.88
Er: 0.0000 0.0000 0.0000  6 Tb 3.34, 6 Er 3.60
Tb: 0.5060 0.2530 0.3037  1 Sc 2.88
Tb: 0.0507 0.7978 0.3037  1 Sc 2.88
Tb: 0.4320 0.2160 0.6480  9 Tb 3.63-3.65, 3 Er 3.81
Er: 0.5000 0.5000 0.0000  6 Tb 3.51-3.81, 6 Er 3.60
Er: 0.5000 0.0000 0.0000  6 Tb 3.51-3.81, 6 Er 3.60
Tb: 0.9493 0.2022 0.6963  1 Sc 2.88

=====

VASP calculation (PBE-GGA) on a relaxed ZrNi2W2 crystal.

Summary:
energy relative to the elements = 63 meV per atom
relative energy among the computed polymorphs = 0.000 eV/atom
space-group type = No. 139

Cell: 3.7825 3.7825 6.2000 Å, 72.24 72.24 90.00°
Closest atoms and distances in Å follow each position.
Sites, in units of the cell vectors:
Zr: 0.0000 0.0000 0.0000  8 Ni 2.90
Ni: 0.5997 0.5997 0.8007  1 Ni 2.23
W: 0.2500 0.7500 0.5000  4 Ni 2.53, 4 W 2.67
Ni: 0.4003 0.4003 0.1993  1 Ni 2.23
W: 0.7500 0.2500 0.5000  4 Ni 2.53, 4 W 2.67

=====

VASP calculation (PBE-GGA) on a relaxed LiThSc2 crystal.

Summary:
energy relative to the elements = 190 meV per atom
relative energy among the computed polymorphs = 0.110 eV/atom
space-group type = No. 123

Cell: 3.4952 5.3921 5.3921 Å, 90.00 90.00 90.00°
Closest atoms and distances in Å follow each position.
Sites, in units of the cell vectors:
Li: 0.5000 0.5000 0.5000  8 Sc 3.21, 2 Li 3.50
Sc: 0.0000 0.0000 0.5000  4 Th 3.21, 4 Li 3.21, 2 Sc 3.50
Sc: 0.0000 0.5000 0.0000  4 Li 3.21, 4 Th 3.21, 2 Sc 3.50
Th: 0.5000 0.0000 0.0000  8 Sc 3.21, 2 Th 3.50

=====

VASP calculation (PBE-GGA) on a relaxed CePmGeRu crystal.

Summary:
energy relative to the elements = -308 meV per atom
relative energy among the computed polymorphs = 0.039 eV/atom
space-group type = No. 129

Cell: 4.5712 4.5712 9.9313 Å, 90.00 90.00 90.00°
Closest atoms and distances in Å follow each position.
Sites, in units of the cell vectors:
Ru: 0.0000 0.5000 0.3673  1 Ge 2.41, 4 Ce 2.64
Pm: 0.5000 0.0000 0.1632  1 Ge 2.86
Ge: 0.0000 0.5000 0.1247  1 Ru 2.41
Ce: 0.0000 0.0000 0.5000  4 Ru 2.64
Ge: 0.5000 0.0000 0.8753  1 Ru 2.41
Ru: 0.5000 0.0000 0.6327  1 Ge 2.41, 4 Ce 2.64
Ce: 0.5000 0.5000 0.5000  4 Ru 2.64
Pm: 0.0000 0.5000 0.8368  1 Ge 2.86

=====

VASP calculation (PBE-GGA) on a relaxed BaZn2Pb2 crystal.

Summary:
energy relative to the elements = -110 meV per atom
space-group type = No. 127

Cell: 8.5167 8.5167 3.9094 Å, 90.00 90.00 90.00°
Closest atoms and distances in Å follow each position.
Sites, in units of the cell vectors:
Ba: 0.5000 0.5000 0.0000  4 Zn 3.43, 8 Pb 3.72
Zn: 0.3872 0.8872 0.0000  1 Zn 2.72
Ba: 0.0000 0.0000 0.0000  4 Zn 3.43, 8 Pb 3.72
Zn: 0.6128 0.1128 0.0000  1 Zn 2.72
Pb: 0.3303 0.1697 0.5000  6 Zn 3.14-3.27
Pb: 0.6697 0.8303 0.5000  6 Zn 3.14-3.27
Pb: 0.8303 0.3303 0.5000  6 Zn 3.14-3.27
Zn: 0.1128 0.3872 0.0000  1 Zn 2.72
Pb: 0.1697 0.6697 0.5000  6 Zn 3.14-3.27
Zn: 0.8872 0.6128 0.0000  1 Zn 2.72

=====

VASP calculation (PBE-GGA) on a relaxed LaP2PdO crystal.

Summary:
relative energy among the computed polymorphs = 0.845 eV/atom
space-group type = No. 123

Cell: 5.6852 5.6852 4.1080 Å, 90.00 90.00 90.00°
Closest atoms and distances in Å follow each position.
Sites, in units of the cell vectors:
P: 0.5000 0.0000 0.0000  2 La 2.84
P: 0.0000 0.5000 0.0000  2 La 2.84
La: 0.0000 0.0000 0.0000  2 O 2.05
O: 0.0000 0.0000 0.5000  2 La 2.05
Pd: 0.5000 0.5000 0.5000  8 P 3.51